1.
# YErSc4 (PBE, optimized geometry)
# Formation energy from the elements, eV/atom: 0.231
# Total energy, eV/atom: -5.83
# E above lowest polymorph, meV per atom: 165
# Size of the total moment, μB per formula unit: 0.0
data_YErSc4
_cell_length_a 6.406
_cell_length_b 10.877
_cell_length_c 18.929
_cell_angle_alpha 90.00
_cell_angle_beta 90.00
_cell_angle_gamma 90.00
_symmetry_space_group_name_H-M 'F d d d'
_symmetry_Int_Tables_number 70
loop_
_symmetry_equiv_pos_as_xyz
'x,y,z'
'-x,-y,-z'
'-x+1/4,-y+1/4,z'
'x+1/4,y+1/4,-z'
'x,-y+1/4,-z+1/4'
'-x,y+1/4,z+1/4'
'-x+1/4,y,-z+1/4'
'x+1/4,-y,z+1/4'
'x,y+1/2,z+1/2'
'-x,-y+1/2,-z+1/2'
'-x+1/4,-y+3/4,z+1/2'
'x+1/4,y+3/4,-z+1/2'
'x,-y+3/4,-z+3/4'
'-x,y+3/4,z+3/4'
'-x+1/4,y+1/2,-z+3/4'
'x+1/4,-y+1/2,z+3/4'
'x+1/2,y,z+1/2'
'-x+1/2,-y,-z+1/2'
'-x+3/4,-y+1/4,z+1/2'
'x+3/4,y+1/4,-z+1/2'
'x+1/2,-y+1/4,-z+3/4'
'-x+1/2,y+1/4,z+3/4'
'-x+3/4,y,-z+3/4'
'x+3/4,-y,z+3/4'
'x+1/2,y+1/2,z'
'-x+1/2,-y+1/2,-z'
'-x+3/4,-y+3/4,z'
'x+3/4,y+3/4,-z'
'x+1/2,-y+3/4,-z+1/4'
'-x+1/2,y+3/4,z+1/4'
'-x+3/4,y+1/2,-z+1/4'
'x+3/4,-y+1/2,z+1/4'
loop_
_atom_site_label
_atom_site_type_symbol
_atom_site_fract_x
_atom_site_fract_y
_atom_site_fract_z
_atom_site_occupancy
Y1 Y 0.125 0.125 0.125 1
Er1 Er 0.125 0.125 0.625 1
Sc1 Sc 0.125 0.373 0.531 1



2.
# YErSc5 (PBE, optimized geometry)
# Formation energy from the elements, eV/atom: 0.376
# Total energy, eV/atom: -5.72
# Size of the total moment, μB per formula unit: 0.0
data_YErSc5
_cell_length_a 5.075
_cell_length_b 5.075
_cell_length_c 7.672
_cell_angle_alpha 90.00
_cell_angle_beta 90.00
_cell_angle_gamma 90.00
_symmetry_space_group_name_H-M 'P 4/m m m'
_symmetry_Int_Tables_number 123
_symmetry_space_group_name_Hall '-P 4 2'
loop_
_atom_site_label
_atom_site_type_symbol
_atom_site_fract_x
_atom_site_fract_y
_atom_site_fract_z
_atom_site_occupancy
Y1 Y 0.000 0.000 0.000 1
Er1 Er 0.500 0.500 0.500 1
Sc1 Sc 0.000 0.500 0.274 1
Sc2 Sc 0.500 0.500 0.000 1



3.
# Y6Er8Sc (PBE, optimized geometry)
# Formation energy from the elements, eV/atom: 0.116
# Total energy, eV/atom: -5.33
# E above lowest polymorph, meV per atom: 0
# Size of the total moment, μB per formula unit: 0.0
data_Y6Er8Sc
_cell_length_a 8.9687
_cell_length_b 8.9687
_cell_length_c 20.3622
_cell_angle_alpha 90.00
_cell_angle_beta 90.00
_cell_angle_gamma 120.00
_symmetry_space_group_name_H-M 'R -3'
_symmetry_Int_Tables_number 148
_symmetry_space_group_name_Hall '-R 3'
loop_
_atom_site_label
_atom_site_type_symbol
_atom_site_fract_x
_atom_site_fract_y
_atom_site_fract_z
_atom_site_occupancy
Y1 Y 0.0745 0.2521 0.2078 1
Er1 Er 0.0000 0.0000 0.0761 1
Er2 Er 0.0828 0.5527 0.3081 1
Sc1 Sc 0.0000 0.0000 0.5000 1



4.
# Y5Er12Sc (PBE, optimized geometry)
# Formation energy from the elements, eV/atom: 0.032
# Total energy, eV/atom: -5.16
# Size of the total moment, μB per formula unit: 0.0
data_Y5Er12Sc
_cell_length_a 14.897
_cell_length_b 14.922
_cell_length_c 4.961
_cell_angle_alpha 90.00
_cell_angle_beta 90.00
_cell_angle_gamma 90.00
_symmetry_space_group_name_H-M 'C m m m'
_symmetry_Int_Tables_number 65
_symmetry_space_group_name_Hall '-C 2 2'
loop_
_atom_site_label
_atom_site_type_symbol
_atom_site_fract_x
_atom_site_fract_y
_atom_site_fract_z
_atom_site_occupancy
Y1 Y 0.000 0.000 0.000 1
Y2 Y 0.000 0.167 0.500 1
Y3 Y 0.000 0.336 0.000 1
Er1 Er 0.165 0.500 0.000 1
Er2 Er 0.166 0.335 0.500 1
Er3 Er 0.168 0.000 0.500 1
Er4 Er 0.168 0.167 0.000 1
Sc1 Sc 0.000 0.500 0.500 1



5.
# Y2Er4Sc (PBE, optimized geometry)
# Formation energy from the elements, eV/atom: 0.142
# Total energy, eV/atom: -5.22
# E above lowest polymorph, meV per atom: 0
# Size of the total moment, μB per formula unit: 0.0
data_Y2Er4Sc
_cell_length_a 6.118
_cell_length_b 6.409
_cell_length_c 11.275
_cell_angle_alpha 90.00
_cell_angle_beta 105.72
_cell_angle_gamma 90.00
_symmetry_space_group_name_H-M 'P 1 21/m 1'
_symmetry_Int_Tables_number 11
_symmetry_space_group_name_Hall '-P 2yb'
loop_
_atom_site_label
_atom_site_type_symbol
_atom_site_fract_x
_atom_site_fract_y
_atom_site_fract_z
_atom_site_occupancy
Y1 Y 0.119 0.250 0.000 1
Y2 Y 0.210 0.250 0.576 1
Er1 Er 0.150 0.003 0.287 1
Er2 Er 0.359 0.750 0.560 1
Er3 Er 0.464 0.750 0.133 1
Sc1 Sc 0.335 0.750 0.837 1



6.
# Y2Er7Sc (PBE, optimized geometry)
# Formation energy from the elements, eV/atom: 0.172
# Total energy, eV/atom: -4.95
# E above lowest polymorph, meV per atom: 0
# Size of the total moment, μB per formula unit: 0.0
data_Y2Er7Sc
_cell_length_a 6.374
_cell_length_b 28.272
_cell_length_c 3.440
_cell_angle_alpha 90.00
_cell_angle_beta 90.00
_cell_angle_gamma 90.00
_symmetry_space_group_name_H-M 'C m m m'
_symmetry_Int_Tables_number 65
_symmetry_space_group_name_Hall '-C 2 2'
loop_
_atom_site_label
_atom_site_type_symbol
_atom_site_fract_x
_atom_site_fract_y
_atom_site_fract_z
_atom_site_occupancy
Y1 Y 0.000 0.208 0.000 1
Er1 Er 0.000 0.000 0.000 1
Er2 Er 0.000 0.316 0.500 1
Er3 Er 0.245 0.404 0.000 1
Sc1 Sc 0.000 0.500 0.500 1



7.
# Y4Er5Sc3 (PBE, optimized geometry)
# Formation energy from the elements, eV/atom: 0.218
# Total energy, eV/atom: -5.42
# Size of the total moment, μB per formula unit: 0.8
data_Y4Er5Sc3
_cell_length_a 15.846
_cell_length_b 5.695
_cell_length_c 9.080
_cell_angle_alpha 90.00
_cell_angle_beta 117.42
_cell_angle_gamma 90.00
_symmetry_space_group_name_H-M 'C 1 2/m 1'
_symmetry_Int_Tables_number 12
_symmetry_space_group_name_Hall '-C 2y'
loop_
_atom_site_label
_atom_site_type_symbol
_atom_site_fract_x
_atom_site_fract_y
_atom_site_fract_z
_atom_site_occupancy
Y1 Y 0.082 0.000 0.440 1
Y2 Y 0.215 0.000 0.879 1
Er1 Er 0.000 0.000 0.000 1
Er2 Er 0.073 0.500 0.711 1
Er3 Er 0.174 0.500 0.378 1
Sc1 Sc 0.000 0.500 0.000 1
Sc2 Sc 0.215 0.000 0.236 1



8.
# Y7ErSc3 (PBE, optimized geometry)
# Formation energy from the elements, eV/atom: 0.142
# Total energy, eV/atom: -6.11
# Size of the total moment, μB per formula unit: 0.0
data_Y7ErSc3
_cell_length_a 6.721
_cell_length_b 5.422
_cell_length_c 9.641
_cell_angle_alpha 90.00
_cell_angle_beta 106.28
_cell_angle_gamma 90.00
_symmetry_space_group_name_H-M 'P 1 2/m 1'
_symmetry_Int_Tables_number 10
_symmetry_space_group_name_Hall '-P 2y'
loop_
_atom_site_label
_atom_site_type_symbol
_atom_site_fract_x
_atom_site_fract_y
_atom_site_fract_z
_atom_site_occupancy
Y1 Y 0.000 0.000 0.000 1
Y2 Y 0.150 0.500 0.282 1
Y3 Y 0.321 0.500 0.633 1
Y4 Y 0.441 0.000 0.830 1
Er1 Er 0.000 0.000 0.500 1
Sc1 Sc 0.277 0.500 0.987 1
Sc2 Sc 0.500 0.000 0.500 1



formation energy from the elements of number 6 (Y2Er7Sc)? 0.172 eV/atom